VASP calculation (GGA-PBE) on a geometry-optimized La3Pm4Cd structure.

a = 4.2241 Å, b = 4.2241 Å, c = 15.0288 Å
α = 90.00°, β = 90.00°, γ = 90.00°
Space group P4/mmm (No. 123)
Inequivalent atoms, fractional coordinates:
1 La 0.0000 0.0000 0.0000
2 La 0.0000 0.0000 0.2489
3 Pm 0.5000 0.5000 0.1285
4 Pm 0.5000 0.5000 0.3880
5 Cd 0.0000 0.0000 0.5000

Results
Spin magnetization, μB per cell: 0.00
DOS(E_F), states/eV per cell: 13.0
Excess energy over the best structure of this formula in the dataset, meV/atom: 61
Crystal system: tetragonal
Energy of formation, eV per atom: 0.015
E_tot, eV/atom: -4.323